{
  "formula": "YHfSbC2",
  "functional": "GGA-PBE",
  "state": "optimized geometry",
  "formation_energy_uncorrected_ev_per_fu": 10.138,
  "magmom_total_mub_per_cell": 0.00,
  "dft_energy_ev_per_atom": -5.770,
  "lattice_angstrom": [[4.394, 0.000, 0.000], [0.000, 4.394, 0.000], [0.000, 0.000, 6.084]],
  "species": ["Y", "Hf", "Sb", "C", "C"],
  "fractional_positions": [[0.000, 0.000, 0.000], [0.000, 0.000, 0.500], [0.500, 0.500, 0.500], [0.000, 0.500, 0.000], [0.500, 0.000, 0.000]]
}